Y2AlZn3Ni12 (PBE-GGA, relaxed); formation energy = 3.6 kJ per mole of atoms; electronic total energy = -89.2 eV per cell
1.0
-4.9509 -5.0433 -6.0966
-7.0883 -6.0394 -0.6292
-8.5690 -1.0628 -3.5436
Ni Zn Y Al
12 3 2 1
Direct
0.4208 0.8109 0.4208
0.8109 0.4208 0.4208
0.5792 0.5792 0.1891
0.3614 0.9219 0.9219
0.1891 0.5792 0.5792
0.0781 0.6385 0.0781
0.9219 0.9219 0.3614
0.0781 0.0781 0.6385
0.9219 0.3614 0.9219
0.5792 0.1891 0.5792
0.6385 0.0781 0.0781
0.4208 0.4208 0.8109
0.5000 0.0000 0.0000
0.0000 0.5000 0.0000
0.0000 0.0000 0.5000
0.3509 0.3509 0.3509
0.6491 0.6491 0.6491
0.0000 0.0000 0.0000